No. 1
First-principles (GGA-PBE) data for Pm7Ge2Rh after structural relaxation, as listed in Alexandria.

## Properties
energy of formation from the pure elements	0.25	eV per atom

Lattice parameters (Å, degrees): 7.7272 7.7272 7.7272 60.00 60.00 60.00
Element x y z (fractional)
Pm (0.0000, 0.0000, 0.0000)
Pm (0.2561, 0.2561, 0.7439)
Pm (0.2561, 0.7439, 0.2561)
Pm (0.2561, 0.7439, 0.7439)
Pm (0.7439, 0.2561, 0.2561)
Pm (0.7439, 0.2561, 0.7439)
Pm (0.7439, 0.7439, 0.2561)
Ge (0.2500, 0.2500, 0.2500)
Ge (0.7500, 0.7500, 0.7500)
Rh (0.5000, 0.5000, 0.5000)


No. 2
First-principles (GGA-PBE) data for Pm12Ge7Rh after structural relaxation, as listed in Alexandria.

## Properties
energy of formation from the pure elements	-0.50	eV per atom

Lattice parameters (Å, degrees): 9.0503 9.0503 9.0503 109.45 109.45 109.45
Element x y z (fractional)
Pm (0.0942, 0.3965, 0.3141)
Pm (0.1345, 0.2794, 0.6593)
Pm (0.2794, 0.6593, 0.1345)
Pm (0.3141, 0.0942, 0.3965)
Pm (0.3407, 0.8655, 0.7206)
Pm (0.3965, 0.3141, 0.0942)
Pm (0.6035, 0.6859, 0.9058)
Pm (0.6593, 0.1345, 0.2794)
Pm (0.6859, 0.9058, 0.6035)
Pm (0.7206, 0.3407, 0.8655)
Pm (0.8655, 0.7206, 0.3407)
Pm (0.9058, 0.6035, 0.6859)
Ge (0.0260, 0.2653, 0.9359)
Ge (0.0641, 0.9740, 0.7347)
Ge (0.2653, 0.9359, 0.0260)
Ge (0.5000, 0.5000, 0.5000)
Ge (0.7347, 0.0641, 0.9740)
Ge (0.9359, 0.0260, 0.2653)
Ge (0.9740, 0.7347, 0.0641)
Rh (0.0000, 0.0000, 0.0000)


No. 3
First-principles (GGA-PBE) data for Pm2GeRh3 after structural relaxation, as listed in Alexandria.

## Properties
energy of formation from the pure elements	-0.83	eV per atom

Lattice parameters (Å, degrees): 5.1811 5.1811 5.1811 66.40 66.40 66.40
Element x y z (fractional)
Pm (0.1283, 0.1283, 0.1283)
Pm (0.8717, 0.8717, 0.8717)
Ge (0.5000, 0.5000, 0.5000)
Rh (0.0000, 0.5000, 0.5000)
Rh (0.5000, 0.0000, 0.5000)
Rh (0.5000, 0.5000, 0.0000)


No. 4
First-principles (GGA-PBE) data for Pm7GeRh4 after structural relaxation, as listed in Alexandria.

## Properties
energy of formation from the pure elements	-0.43	eV per atom

Lattice parameters (Å, degrees): 7.3741 7.3741 9.6497 121.45 121.45 45.06
Element x y z (fractional)
Pm (0.0000, 0.0000, 0.0000)
Pm (0.1797, 0.1797, 0.6267)
Pm (0.2992, 0.2992, 0.1093)
Pm (0.4261, 0.4261, 0.6361)
Pm (0.5739, 0.5739, 0.3639)
Pm (0.7008, 0.7008, 0.8907)
Pm (0.8203, 0.8203, 0.3733)
Ge (0.5000, 0.5000, 0.0000)
Rh (0.0636, 0.0636, 0.7709)
Rh (0.2084, 0.2084, 0.3430)
Rh (0.7916, 0.7916, 0.6570)
Rh (0.9364, 0.9364, 0.2291)


No. 5
First-principles (GGA-PBE) data for Pm3Ge4Rh2 after structural relaxation, as listed in Alexandria.

## Properties
E above lowest polymorph	0.048	eV per atom
energy of formation from the pure elements	-0.83	eV per atom

Lattice parameters (Å, degrees): 5.9846 5.9846 8.4555 102.83 102.83 41.59
Element x y z (fractional)
Pm (0.0000, 0.0000, 0.0000)
Pm (0.3320, 0.3320, 0.3426)
Pm (0.6680, 0.6680, 0.6574)
Ge (0.0516, 0.0516, 0.3825)
Ge (0.2718, 0.2718, 0.9268)
Ge (0.7282, 0.7282, 0.0732)
Ge (0.9484, 0.9484, 0.6175)
Rh (0.3975, 0.3975, 0.7267)
Rh (0.6025, 0.6025, 0.2733)


No. 6
First-principles (GGA-PBE) data for PmGe2Rh4 after structural relaxation, as listed in Alexandria.

## Properties
E above lowest polymorph	0.000	eV per atom
energy of formation from the pure elements	-0.70	eV per atom

Lattice parameters (Å, degrees): 7.7597 7.7597 3.9055 90.00 90.00 90.00
Element x y z (fractional)
Pm (0.0000, 0.0000, 0.0000)
Pm (0.5000, 0.5000, 0.5000)
Ge (0.2257, 0.2257, 0.5000)
Ge (0.2743, 0.7257, 0.0000)
Ge (0.7257, 0.2743, 0.0000)
Ge (0.7743, 0.7743, 0.5000)
Rh (0.0778, 0.6614, 0.5000)
Rh (0.1614, 0.4222, 0.0000)
Rh (0.3386, 0.9222, 0.5000)
Rh (0.4222, 0.1614, 0.0000)
Rh (0.5778, 0.8386, 0.0000)
Rh (0.6614, 0.0778, 0.5000)
Rh (0.8386, 0.5778, 0.0000)
Rh (0.9222, 0.3386, 0.5000)


Which total magnetization belongs to each record? In order, 0.00, 0.00, 0.00, 0.00, 0.00, 0.00 μB/atom.